1.
## CeDyY6Tm2 (PBE)

Data for a relaxed CeDyY6Tm2 crystal.

Cell: 9.602 8.704 8.704 Å, 116.13 94.59 94.59°
Fractional coordinates of all 20 atoms:
1 Ce 0.250 0.408 0.592
2 Ce 0.750 0.592 0.408
3 Dy 0.250 0.972 0.028
4 Dy 0.750 0.028 0.972
5 Y 0.057 0.115 0.753
6 Y 0.443 0.247 0.885
7 Y 0.943 0.885 0.247
8 Y 0.557 0.753 0.115
9 Y 0.318 0.985 0.433
10 Y 0.182 0.567 0.015
11 Y 0.682 0.015 0.567
12 Y 0.818 0.433 0.985
13 Y 0.116 0.699 0.488
14 Y 0.384 0.512 0.301
15 Y 0.884 0.301 0.512
16 Y 0.616 0.488 0.699
17 Tm 0.450 0.807 0.711
18 Tm 0.050 0.289 0.193
19 Tm 0.550 0.193 0.289
20 Tm 0.950 0.711 0.807

Calculated values
N(E_F) = 39.1 states/eV per cell
crystal system = monoclinic
space-group type = No. 15
energy = -5.6714 eV per atom



2.
## Ce2Dy3Y6Tm (PBE)

Data for a relaxed Ce2Dy3Y6Tm crystal.

Cell: 6.148 6.148 11.760 Å, 95.00 95.00 119.99°
Fractional coordinates of all 12 atoms:
1 Ce 0.334 0.666 0.000
2 Ce 0.666 0.334 0.000
3 Dy 0.166 0.834 0.500
4 Dy 0.834 0.166 0.500
5 Dy 0.500 0.500 0.500
6 Y 0.917 0.582 0.752
7 Y 0.748 0.748 0.249
8 Y 0.083 0.418 0.248
9 Y 0.582 0.917 0.752
10 Y 0.252 0.252 0.751
11 Y 0.418 0.083 0.248
12 Tm 0.000 0.000 0.000

Calculated values
N(E_F) = 22.2 states/eV per cell
crystal system = monoclinic
space-group type = No. 12
energy = -5.6938 eV per atom



3.
## CeDy2Y5Tm (PBE)

Data for a relaxed CeDy2Y5Tm crystal.

Cell: 8.720 8.720 9.843 Å, 116.29 116.29 90.00°
Fractional coordinates of all 18 atoms:
1 Ce 0.250 0.250 0.500
2 Ce 0.750 0.750 0.500
3 Dy 0.116 0.384 0.000
4 Dy 0.616 0.116 0.000
5 Dy 0.384 0.884 0.000
6 Dy 0.884 0.616 0.000
7 Y 0.929 0.429 0.274
8 Y 0.655 0.155 0.726
9 Y 0.071 0.571 0.726
10 Y 0.155 0.071 0.726
11 Y 0.571 0.655 0.726
12 Y 0.845 0.929 0.274
13 Y 0.429 0.345 0.274
14 Y 0.345 0.845 0.274
15 Y 0.500 0.500 0.000
16 Y 0.000 0.000 0.000
17 Tm 0.250 0.750 0.500
18 Tm 0.750 0.250 0.500

Calculated values
N(E_F) = 30.7 states/eV per cell
crystal system = tetragonal
space-group type = No. 140
energy = -5.4537 eV per atom



4.
## Ce2Dy3YTm6 (PBE)

Data for a relaxed Ce2Dy3YTm6 crystal.

Cell: 6.083 6.083 11.606 Å, 95.01 95.01 119.97°
Fractional coordinates of all 12 atoms:
1 Ce 0.333 0.667 0.000
2 Ce 0.667 0.333 0.000
3 Dy 0.166 0.834 0.500
4 Dy 0.834 0.166 0.500
5 Dy 0.500 0.500 0.500
6 Y 0.000 0.000 0.000
7 Tm 0.916 0.581 0.751
8 Tm 0.748 0.748 0.250
9 Tm 0.084 0.419 0.249
10 Tm 0.581 0.916 0.751
11 Tm 0.252 0.252 0.750
12 Tm 0.419 0.084 0.249

Calculated values
N(E_F) = 20.8 states/eV per cell
crystal system = monoclinic
space-group type = No. 12
energy = -4.8655 eV per atom



5.
## Ce2Dy6Y3Tm (PBE)

Data for a relaxed Ce2Dy6Y3Tm crystal.

Cell: 6.130 6.130 11.746 Å, 94.99 94.99 120.00°
Fractional coordinates of all 12 atoms:
1 Ce 0.334 0.666 0.000
2 Ce 0.666 0.334 0.000
3 Dy 0.917 0.582 0.752
4 Dy 0.748 0.748 0.248
5 Dy 0.083 0.418 0.248
6 Dy 0.582 0.917 0.752
7 Dy 0.252 0.252 0.752
8 Dy 0.418 0.083 0.248
9 Y 0.166 0.834 0.500
10 Y 0.834 0.166 0.500
11 Y 0.500 0.500 0.500
12 Tm 0.000 0.000 0.000

Calculated values
N(E_F) = 22.4 states/eV per cell
crystal system = monoclinic
space-group type = No. 12
energy = -5.2303 eV per atom



6.
## CeDyTmZr (PBE)

Data for a relaxed CeDyTmZr crystal.

Cell: 5.435 5.435 5.435 Å, 60.00 60.00 60.00°
Fractional coordinates of all 4 atoms:
1 Tm 0.750 0.750 0.750
2 Zr 0.250 0.250 0.250
3 Ce 0.000 0.000 0.000
4 Dy 0.500 0.500 0.500

Calculated values
N(E_F) = 9.6 states/eV per cell
crystal system = cubic
space-group type = No. 216
energy = -5.6788 eV per atom



7.
## CeDy2U (PBE)

Data for a relaxed CeDy2U crystal.

Cell: 3.332 3.332 11.734 Å, 81.84 81.84 60.00°
Fractional coordinates of all 4 atoms:
1 U 0.000 0.000 0.000
2 Ce 0.500 0.500 0.500
3 Dy 0.253 0.253 0.240
4 Dy 0.747 0.747 0.760

Calculated values
N(E_F) = 11.5 states/eV per cell
crystal system = trigonal
space-group type = No. 166
energy = -6.3144 eV per atom



8.
## CeDyV4 (PBE)

Data for a relaxed CeDyV4 crystal.

Cell: 5.334 5.334 5.334 Å, 60.00 60.00 60.00°
Fractional coordinates of all 6 atoms:
1 V 0.623 0.623 0.130
2 V 0.623 0.130 0.623
3 V 0.623 0.623 0.623
4 V 0.130 0.623 0.623
5 Ce 0.250 0.250 0.250
6 Dy 0.000 0.000 0.000

Calculated values
N(E_F) = 7.8 states/eV per cell
crystal system = cubic
space-group type = No. 216
energy = -7.5544 eV per atom



9.
## CeDyV (PBE)

Data for a relaxed CeDyV crystal.

Cell: 3.323 7.331 6.618 Å, 72.45 75.46 76.90°
Fractional coordinates of all 6 atoms:
1 Dy 0.410 0.747 0.433
2 Dy 0.590 0.253 0.567
3 Ce 0.135 0.809 0.921
4 Ce 0.865 0.191 0.079
5 V 0.837 0.489 0.837
6 V 0.163 0.511 0.163

Calculated values
N(E_F) = 11.7 states/eV per cell
crystal system = monoclinic
space-group type = No. 12
energy = -6.2746 eV per atom



10.
## CeDyW4 (PBE)

Data for a relaxed CeDyW4 crystal.

Cell: 5.553 5.553 5.553 Å, 60.00 60.00 60.00°
Fractional coordinates of all 6 atoms:
1 Ce 0.250 0.250 0.250
2 W 0.625 0.625 0.126
3 W 0.625 0.126 0.625
4 W 0.625 0.625 0.625
5 W 0.126 0.625 0.625
6 Dy 0.000 0.000 0.000

Calculated values
N(E_F) = 9.1 states/eV per cell
crystal system = cubic
space-group type = No. 216
energy = -10.1894 eV per atom



11.
## CeDyY3 (PBE)

Data for a relaxed CeDyY3 crystal.

Cell: 6.076 6.742 9.402 Å, 81.62 71.13 63.22°
Fractional coordinates of all 10 atoms:
1 Ce 0.112 0.776 0.000
2 Ce 0.888 0.224 0.000
3 Dy 0.251 0.499 0.500
4 Dy 0.749 0.501 0.500
5 Y 0.812 0.000 0.378
6 Y 0.188 0.000 0.622
7 Y 0.261 0.279 0.198
8 Y 0.460 0.279 0.802
9 Y 0.739 0.721 0.802
10 Y 0.540 0.721 0.198

Calculated values
N(E_F) = 20.3 states/eV per cell
excess energy over the best structure of this formula in the dataset = 0.67 eV per formula unit
crystal system = monoclinic
space-group type = No. 12



12.
## CeDyY3 (PBE)

Data for a relaxed CeDyY3 crystal.

Cell: 3.609 11.108 8.474 Å, 106.52 90.01 99.34°
Fractional coordinates of all 10 atoms:
1 Ce 0.209 0.450 0.593
2 Ce 0.835 0.704 0.829
3 Dy 0.406 0.844 0.192
4 Dy 0.638 0.310 0.230
5 Y 0.039 0.111 0.427
6 Y 0.438 0.909 0.626
7 Y 0.606 0.245 0.795
8 Y 0.005 0.043 0.995
9 Y 0.239 0.512 0.027
10 Y 0.805 0.642 0.395

Calculated values
N(E_F) = 22.3 states/eV per cell
excess energy over the best structure of this formula in the dataset = 0.00 eV per formula unit
crystal system = triclinic
space-group type = No. 2